Record 1
Density functional theory data (PBE) for an optimized crystal structure of BaScCr2.

Properties
Uncorrected energy in eV per atom: -6.009
Polymorph energy (0 for the lowest one) in eV per formula unit: 1.35
Space group: Cmmm (65)
V in Å³/atom: 25.63

```
BaScCr2
1.0
3.784 -3.790 0.000
3.784 3.790 0.000
0.000 0.000 3.574
Ba Sc Cr
1 1 2
direct
0.000 0.000 0.000 Ba
0.500 0.500 0.000 Sc
0.000 0.500 0.500 Cr
0.500 0.000 0.500 Cr
```



Record 2
Density functional theory data (PBE) for an optimized crystal structure of RbPb6Au.

Properties
Uncorrected energy in eV per atom: -3.392
Space group: P4/mmm (123)
V in Å³/atom: 34.63

```
RbPb6Au
1.0
5.036 0.000 0.000
0.000 5.036 0.000
0.000 0.000 10.924
Rb Pb Au
1 6 1
direct
0.000 0.000 0.000 Rb
0.000 0.500 0.337 Pb
0.000 0.500 0.663 Pb
0.500 0.000 0.337 Pb
0.500 0.000 0.663 Pb
0.500 0.500 0.151 Pb
0.500 0.500 0.849 Pb
0.000 0.000 0.500 Au
```



Record 3
Density functional theory data (PBE) for an optimized crystal structure of Y2Zn9Ga3.

Properties
Uncorrected energy in eV per atom: -2.638
Space group: Cmcm (63)
V in Å³/atom: 17.24

```
Y2Zn9Ga3
1.0
6.706 -3.963 0.000
6.706 3.963 0.000
0.000 0.000 9.082
Y Zn Ga
4 18 6
direct
0.008 0.313 0.250 Y
0.313 0.008 0.750 Y
0.687 0.992 0.250 Y
0.992 0.687 0.750 Y
0.029 0.651 0.093 Zn
0.029 0.651 0.407 Zn
0.150 0.850 0.250 Zn
0.335 0.665 0.563 Zn
0.335 0.665 0.937 Zn
0.349 0.971 0.093 Zn
0.349 0.971 0.407 Zn
0.358 0.449 0.250 Zn
0.449 0.358 0.750 Zn
0.551 0.642 0.250 Zn
0.642 0.551 0.750 Zn
0.651 0.029 0.593 Zn
0.651 0.029 0.907 Zn
0.665 0.335 0.063 Zn
0.665 0.335 0.437 Zn
0.850 0.150 0.750 Zn
0.971 0.349 0.593 Zn
0.971 0.349 0.907 Zn
0.000 0.000 0.000 Ga
0.000 0.000 0.500 Ga
0.310 0.310 0.000 Ga
0.310 0.310 0.500 Ga
0.690 0.690 0.000 Ga
0.690 0.690 0.500 Ga
```



- What is the V in the third record?
  17.24 Å³/atom



- Which value of V does entry 3 give?
  17.24 Å³/atom